1.
LaScSi4Ni2: relaxed, GGA-PBE.

```
8
Lattice="-3.479 -1.291 1.486 -0.725 7.115 4.485 -2.546 7.989 0.982" Properties=species:S:1:pos:R:3 pbc="T T T"
Si -4.178 10.612 4.818
Si -1.883 0.016 0.983
Si -0.805 3.716 1.345
Si -3.155 14.570 5.274
La -3.033 5.329 2.906
Ni -2.321 2.039 1.715
Ni -2.680 12.376 4.480
Sc -1.987 9.173 3.320
```

Output
Symmetry   Amm2, No. 38
Magnetic moment   0.000 μB/atom
Total DFT energy (no corrections)   -6.265 eV per atom

---

2.
LaScTlNi2: relaxed, GGA-PBE.

```
5
Lattice="3.621 0.000 0.000 0.000 1.949 7.392 0.000 -1.949 7.392" Properties=species:S:1:pos:R:3 pbc="T T T"
Tl 0.000 0.000 0.176
Sc 1.810 0.000 9.505
La 1.810 0.000 5.352
Ni 0.000 0.000 2.872
Ni 0.000 0.000 11.661
```

Output
Symmetry   Amm2, No. 38
Magnetic moment   0.001 μB/atom
Total DFT energy (no corrections)   -5.345 eV per atom

---

3.
LaNiSe3: relaxed, GGA-PBE.

```
20
Lattice="8.018 0.000 0.000 0.000 3.959 0.000 0.000 0.000 13.590" Properties=species:S:1:pos:R:3 pbc="T T T"
Se 3.978 0.990 1.348
Se 6.524 2.970 2.869
Se 6.780 0.990 0.012
Se 2.772 0.990 6.783
Se 1.237 2.970 13.579
Se 1.494 0.990 10.721
Se 4.039 2.970 12.242
Se 5.246 2.970 6.807
Se 2.515 2.970 3.926
Se 7.987 0.990 5.447
Se 5.503 0.990 9.664
Se 0.030 2.970 8.144
La 4.843 0.990 4.471
La 3.174 2.970 9.120
La 0.835 0.990 2.324
La 7.183 2.970 11.266
Ni 6.685 0.990 7.490
Ni 2.677 0.990 12.896
Ni 5.341 2.970 0.694
Ni 1.332 2.970 6.101
```

Output
Symmetry   Pnma, No. 62
Magnetic moment   0.031 μB/atom
Total DFT energy (no corrections)   -5.281 eV per atom

---

4.
LaTlNiSe3: relaxed, GGA-PBE.

```
24
Lattice="4.313 0.000 0.000 0.000 11.726 0.000 0.000 0.000 12.432" Properties=species:S:1:pos:R:3 pbc="T T T"
Se 1.078 0.587 10.426
Se 3.235 7.221 0.689
Se 1.078 6.450 8.222
Se 3.235 1.358 5.527
Se 3.235 9.063 9.679
Se 1.078 10.367 6.905
Se 1.078 8.525 3.463
Se 3.235 11.138 2.006
Se 1.078 2.663 2.753
Se 3.235 5.276 4.210
Se 1.078 4.504 11.743
Se 3.235 3.200 8.969
Ni 3.235 2.950 3.703
Ni 1.078 2.913 9.919
Ni 1.078 8.775 8.729
Ni 3.235 8.813 2.513
La 3.235 0.162 8.373
La 3.235 6.025 10.275
La 1.078 11.563 4.059
La 1.078 5.701 2.157
Tl 3.235 7.887 6.153
Tl 3.235 2.024 0.062
Tl 1.078 9.702 12.369
Tl 1.078 3.839 6.278
```

Output
Symmetry   Pnma, No. 62
Magnetic moment   0.176 μB/atom
Total DFT energy (no corrections)   -4.852 eV per atom

---

5.
LaSiNi4: relaxed, GGA-PBE.

```
6
Lattice="2.577 4.037 -1.009 -4.715 0.719 1.098 0.951 0.356 3.852" Properties=species:S:1:pos:R:3 pbc="T T T"
Ni 1.764 2.196 1.421
Ni -2.219 1.855 0.377
Ni 0.080 2.901 -0.288
Ni -1.882 0.537 2.475
La 0.000 0.000 0.000
Si -0.594 2.556 1.971
```

Output
Symmetry   Cmmm, No. 65
Magnetic moment   0.002 μB/atom
Total DFT energy (no corrections)   -5.987 eV per atom

---

6.
LaSi2Ni9: relaxed, GGA-PBE.

```
24
Lattice="-4.922 4.922 3.111 4.922 -4.922 3.111 4.922 4.922 -3.111" Properties=species:S:1:pos:R:3 pbc="T T T"
Ni 2.914 -1.227 3.508
Ni 1.227 2.914 2.714
Ni 7.836 1.227 1.158
Ni 0.000 4.922 1.555
Ni 3.695 -2.914 1.952
Ni 6.149 2.914 1.952
Ni 6.149 2.008 -0.397
Ni 3.695 2.008 -0.397
Ni 2.914 1.227 3.508
Ni 3.695 2.914 1.952
Ni 2.008 3.695 0.397
Ni 0.000 0.000 0.000
Ni -1.227 2.914 2.714
Ni 6.149 -2.914 1.952
Ni 2.008 1.227 1.158
Ni 2.008 -1.227 1.158
Ni 7.836 -1.227 1.158
Ni 2.008 6.149 0.397
Si 0.000 7.383 0.778
Si -2.461 4.922 2.333
Si 0.000 2.461 0.778
Si 2.461 4.922 2.333
La 0.000 0.000 3.111
La 4.922 0.000 1.555
```

Output
Symmetry   I4_1/amd, No. 141
Magnetic moment   0.000 μB/atom
Total DFT energy (no corrections)   -5.963 eV per atom

---

7.
La2Si3Ni: relaxed, GGA-PBE.

```
12
Lattice="3.151 -3.799 6.672 -2.104 -1.155 7.774 -2.125 -5.547 0.731" Properties=species:S:1:pos:R:3 pbc="T T T"
Si -1.585 -5.446 3.066
Si -2.606 -6.007 6.867
Si 0.987 -4.595 5.974
Si -2.065 -5.907 9.203
Si 1.527 -4.494 8.311
Si 0.507 -5.055 12.112
La -0.809 -7.876 11.383
La 0.254 -7.328 7.495
La -0.270 -2.625 3.794
La -1.333 -3.173 7.683
Ni -0.009 -5.152 9.880
Ni -1.069 -5.350 5.297
```

Output
Symmetry   Fmmm, No. 69
Magnetic moment   0.002 μB/atom
Total DFT energy (no corrections)   -6.114 eV per atom

---

8.
LaSm2Si4Ni4: relaxed, GGA-PBE.

```
11
Lattice="-4.112 9.119 6.577 -7.800 4.797 7.711 7.626 -7.799 -4.932" Properties=species:S:1:pos:R:3 pbc="T T T"
Si -5.323 6.218 6.385
Si -0.625 3.442 3.680
Si -3.661 2.674 5.676
Si -6.589 7.697 7.903
Ni -8.951 10.457 10.737
Ni -4.847 4.059 7.099
Ni -2.960 3.458 3.551
Ni 0.561 2.057 2.257
Sm -1.880 0.594 3.541
Sm -2.405 5.522 5.815
La 0.000 0.000 0.000
```

Output
Symmetry   Immm, No. 71
Magnetic moment   0.001 μB/atom
Total DFT energy (no corrections)   -6.088 eV per atom

---

9.
La2SmSi4Ni4: relaxed, GGA-PBE.

```
11
Lattice="-2.040 2.049 11.847 2.040 -2.049 11.847 2.040 2.049 -11.847" Properties=species:S:1:pos:R:3 pbc="T T T"
Sm 0.000 0.000 0.000
Si 0.000 0.000 10.654
Si 2.040 0.000 7.102
Si 0.000 2.049 4.745
Si 0.000 0.000 13.041
Ni 0.000 0.000 5.899
Ni 0.000 0.000 17.796
Ni 2.040 0.000 9.513
Ni 0.000 2.049 2.334
La 2.040 0.000 3.528
La 0.000 2.049 8.319
```

Output
Symmetry   Immm, No. 71
Magnetic moment   0.001 μB/atom
Total DFT energy (no corrections)   -6.088 eV per atom

---

10.
LaSiNiSn: relaxed, GGA-PBE.

```
8
Lattice="2.154 -8.855 0.000 2.154 8.855 0.000 0.000 0.000 4.364" Properties=species:S:1:pos:R:3 pbc="T T T"
Sn 2.154 -0.883 1.091
Sn 2.154 0.883 3.273
Si 2.154 4.419 1.091
Si 2.154 -4.419 3.273
La 2.154 -6.719 1.091
La 2.154 6.719 3.273
Ni 2.154 -3.443 1.091
Ni 2.154 3.443 3.273
```

Output
Symmetry   Cmcm, No. 63
Magnetic moment   0.000 μB/atom
Total DFT energy (no corrections)   -5.722 eV per atom

---

11.
LaTmSi2Ni4: relaxed, GGA-PBE.

```
8
Lattice="-3.234 2.362 -0.025 0.262 -3.009 2.630 4.199 5.814 6.234" Properties=species:S:1:pos:R:3 pbc="T T T"
Si 2.198 3.077 6.350
Si 0.194 0.300 3.374
La 0.000 0.000 0.000
Ni 2.873 3.979 4.267
Ni 1.246 5.162 5.782
Ni 1.325 1.835 1.968
Ni -1.185 1.795 2.172
Tm 0.031 3.479 3.977
```

Output
Symmetry   P-6m2, No. 187
Magnetic moment   0.001 μB/atom
Total DFT energy (no corrections)   -6.002 eV per atom

---

12.
La3Zn2Si4Ni2: relaxed, GGA-PBE.

```
11
Lattice="-2.092 2.132 12.016 2.092 -2.132 12.016 2.092 2.132 -12.016" Properties=species:S:1:pos:R:3 pbc="T T T"
Ni 0.000 0.000 6.024
Ni 0.000 0.000 18.007
Zn 2.092 0.000 2.418
Zn 0.000 2.132 9.598
La 2.092 0.000 8.308
La 0.000 0.000 12.016
La 0.000 2.132 3.707
Si 0.000 2.132 7.108
Si 0.000 0.000 1.191
Si 0.000 0.000 22.841
Si 2.092 0.000 4.907
```

Output
Symmetry   Immm, No. 71
Magnetic moment   0.002 μB/atom
Total DFT energy (no corrections)   -5.257 eV per atom